Entry 1:
The following is a DFT calculation (GGA-PBE) of a relaxed LiSiPd4 crystal.

Unit cell a=2.9276 b=7.0356 c=16.6701 alpha=90.00 beta=90.00 gamma=90.00
With the nearest neighbours (Å) after each atom.
Atoms (fractional coordinates):
Pd1 0.7500 0.9720 0.9274  3 Si 2.48-2.52, 1 Li 2.62
Pd2 0.2500 0.6107 0.9417  3 Si 2.48-2.55, 2 Li 2.70
Li1 0.7500 0.2155 0.6868  9 Pd 2.58-2.74
Pd3 0.7500 0.3893 0.0583  3 Si 2.48-2.55, 2 Li 2.70
Pd4 0.2500 0.1107 0.5583  3 Si 2.48-2.55, 2 Li 2.70
Si1 0.7500 0.2501 0.4536  8 Pd 2.44-2.55
Pd5 0.7500 0.3366 0.8428  2 Si 2.44, 1 Li 2.71
Pd6 0.7500 0.8893 0.4417  3 Si 2.48-2.55, 2 Li 2.70
Pd7 0.7500 0.4828 0.2825  4 Li 2.58-2.63, 6 Pd 2.84-2.86
Pd8 0.2500 0.1634 0.3428  2 Si 2.44, 1 Li 2.71
Pd9 0.7500 0.8366 0.6572  2 Si 2.44, 1 Li 2.71
Li2 0.2500 0.2845 0.1868  9 Pd 2.58-2.74
Pd10 0.7500 0.4720 0.5726  3 Si 2.48-2.52, 1 Li 2.62
Li3 0.2500 0.7845 0.3132  9 Pd 2.58-2.74
Pd11 0.2500 0.6634 0.1572  2 Si 2.44, 1 Li 2.71
Pd12 0.2500 0.0172 0.7825  4 Li 2.58-2.63, 6 Pd 2.84-2.86
Si2 0.2500 0.2499 0.9536  8 Pd 2.44-2.55
Si3 0.7500 0.7501 0.0464  8 Pd 2.44-2.55
Pd13 0.2500 0.0280 0.0726  3 Si 2.48-2.52, 1 Li 2.62
Si4 0.2500 0.7499 0.5464  8 Pd 2.44-2.55
Li4 0.7500 0.7155 0.8132  9 Pd 2.58-2.74
Pd14 0.7500 0.9828 0.2175  4 Li 2.58-2.63, 6 Pd 2.84-2.86
Pd15 0.2500 0.5280 0.4274  3 Si 2.48-2.52, 1 Li 2.62
Pd16 0.2500 0.5172 0.7175  4 Li 2.58-2.63, 6 Pd 2.84-2.86

Properties
- E_form (uncorrected): -0.514 eV/atom
- Space group: Pnma

***

Entry 2:
The following is a DFT calculation (GGA-PBE) of a relaxed In2ReW crystal.

Unit cell a=4.6569 b=4.6569 c=4.6569 alpha=60.00 beta=60.00 gamma=60.00
With the nearest neighbours (Å) after each atom.
Atoms (fractional coordinates):
In1 0.2500 0.2500 0.2500  4 Re 2.85, 4 W 2.85
W1 0.0000 0.0000 0.0000  8 In 2.85
Re1 0.5000 0.5000 0.5000  8 In 2.85
In2 0.7500 0.7500 0.7500  4 Re 2.85, 4 W 2.85

Properties
- Space group: Fm-3m
- ΔE_f: 0.919 eV per atom

***

Entry 3:
The following is a DFT calculation (GGA-PBE) of a relaxed Mg2GeRh5 crystal.

Unit cell a=4.2059 b=5.3509 c=10.3351 alpha=90.00 beta=90.00 gamma=90.00
With the nearest neighbours (Å) after each atom.
Atoms (fractional coordinates):
Ge1 0.0000 0.5000 0.0000  8 Rh 2.54-2.68
Rh1 0.0000 0.5000 0.5000  4 Mg 2.65, 2 Ge 2.68, 2 Rh 2.78
Rh2 0.5000 0.1636 0.6098  2 Ge 2.54, 4 Mg 2.62-2.76
Rh3 0.0000 0.6173 0.2377  1 Ge 2.54, 2 Mg 2.66, 3 Rh 2.69-2.78
Rh4 0.0000 0.8827 0.7377  1 Ge 2.54, 2 Mg 2.66, 3 Rh 2.69-2.78
Mg1 0.5000 0.3502 0.3643  10 Rh 2.62-2.86
Mg2 0.5000 0.1498 0.8643  10 Rh 2.62-2.86
Rh5 0.0000 0.3827 0.7623  1 Ge 2.54, 2 Mg 2.66, 3 Rh 2.69-2.78
Mg3 0.5000 0.8502 0.1357  10 Rh 2.62-2.86
Rh6 0.5000 0.3364 0.1098  2 Ge 2.54, 4 Mg 2.62-2.76
Rh7 0.0000 0.0000 0.0000  4 Mg 2.65, 2 Ge 2.68, 2 Rh 2.78
Rh8 0.0000 0.1173 0.2623  1 Ge 2.54, 2 Mg 2.66, 3 Rh 2.69-2.78
Rh9 0.5000 0.6636 0.8902  2 Ge 2.54, 4 Mg 2.62-2.76
Mg4 0.5000 0.6498 0.6357  10 Rh 2.62-2.86
Rh10 0.5000 0.8364 0.3902  2 Ge 2.54, 4 Mg 2.62-2.76
Ge2 0.0000 0.0000 0.5000  8 Rh 2.54-2.68

Properties
- Space group: Pbam
- ΔE_f: -0.424 eV per atom

***

Entry 4:
The following is a DFT calculation (GGA-PBE) of a relaxed Be2In2Si crystal.

Unit cell a=7.8550 b=7.8550 c=2.8525 alpha=90.00 beta=90.00 gamma=90.00
With the nearest neighbours (Å) after each atom.
Atoms (fractional coordinates):
Be1 0.0987 0.5987 0.5000  1 Be 2.19
In1 0.3059 0.8059 0.0000  6 Be 2.71-2.81, 2 Si 2.85, 2 In 2.85
Be2 0.4013 0.0987 0.5000  1 Be 2.19
In2 0.6941 0.1941 0.0000  6 Be 2.71-2.81, 2 Si 2.85, 2 In 2.85
In3 0.8059 0.6941 0.0000  6 Be 2.71-2.81, 2 Si 2.85, 2 In 2.85
Be3 0.9013 0.4013 0.5000  1 Be 2.19
Be4 0.5987 0.9013 0.5000  1 Be 2.19
Si1 0.0000 0.0000 0.0000  4 In 2.85, 2 Si 2.85
Si2 0.5000 0.5000 0.0000  4 In 2.85, 2 Si 2.85
In4 0.1941 0.3059 0.0000  6 Be 2.71-2.81, 2 Si 2.85, 2 In 2.85

Properties
- E_form (uncorrected): 0.648 eV/atom
- Space group: P4/mbm

***

Entry 5:
The following is a DFT calculation (GGA-PBE) of a relaxed Tb6Pm3Nd2Ho crystal.

Unit cell a=6.2383 b=6.2383 c=11.9085 alpha=95.00 beta=95.00 gamma=119.98
With the nearest neighbours (Å) after each atom.
Atoms (fractional coordinates):
Pm1 0.1667 0.8333 0.5000  6 Tb 3.59-3.60, 6 Pm 3.60
Tb1 0.0835 0.4161 0.2494  1 Ho 3.59, 2 Nd 3.59, 6 Tb 3.59-3.61, 3 Pm 3.60
Pm2 0.8333 0.1667 0.5000  6 Tb 3.59-3.60, 6 Pm 3.60
Ho1 0.0000 0.0000 0.0000  6 Tb 3.59, 6 Nd 3.60
Tb2 0.5839 0.9165 0.7506  1 Ho 3.59, 2 Nd 3.59, 6 Tb 3.59-3.61, 3 Pm 3.60
Pm3 0.5000 0.5000 0.5000  6 Tb 3.60, 6 Pm 3.60
Nd1 0.6665 0.3335 0.0000  6 Tb 3.59, 3 Nd 3.60, 3 Ho 3.60
Nd2 0.3335 0.6665 0.0000  6 Tb 3.59, 3 Nd 3.60, 3 Ho 3.60
Tb3 0.2489 0.2489 0.7502  1 Ho 3.59, 2 Nd 3.59, 6 Tb 3.59-3.61, 3 Pm 3.59-3.60
Tb4 0.7511 0.7511 0.2498  1 Ho 3.59, 2 Nd 3.59, 6 Tb 3.59-3.61, 3 Pm 3.59-3.60
Tb5 0.4161 0.0835 0.2494  1 Ho 3.59, 2 Nd 3.59, 6 Tb 3.59-3.61, 3 Pm 3.60
Tb6 0.9165 0.5839 0.7506  1 Ho 3.59, 2 Nd 3.59, 6 Tb 3.59-3.61, 3 Pm 3.60

Properties
- Space group: C2/m
- ΔE_f: 0.013 eV per atom

***

Entry 6:
The following is a DFT calculation (GGA-PBE) of a relaxed SrZnGa2Ir2 crystal.

Unit cell a=4.1900 b=4.1900 c=9.6365 alpha=77.44 beta=77.44 gamma=60.00
With the nearest neighbours (Å) after each atom.
Atoms (fractional coordinates):
Ir1 0.5873 0.5873 0.2382  3 Ga 2.44, 1 Zn 2.44
Sr1 0.0000 0.0000 0.0000  6 Ir 3.28, 6 Ga 3.51
Ir2 0.4127 0.4127 0.7618  3 Ga 2.44, 1 Zn 2.44
Ga1 0.7575 0.7575 0.7274  3 Ir 2.44
Zn1 0.5000 0.5000 0.5000  2 Ir 2.44
Ga2 0.2425 0.2425 0.2726  3 Ir 2.44

Properties
- Space group: R-3m
- ΔE_f: -0.150 eV per atom

***

| no. | E (eV/f.u.) |
| --- | --- |
| 1 | -31.2 |
| 2 | -27.2 |
| 3 | -48.0 |
| 4 | -15.1 |
| 5 | -56.0 |
| 6 | -27.6 |